Record 1
# Mg3In12As5 PBE-GGA relaxed
data_Mg3In12As5
_chemical_formula_sum 'Mg24 In96 As40'
_space_group_name_H-M_alt 'I a -3 d'
_space_group_IT_number 230
_space_group_name_Hall '-I 4bd 2c 3'
_cell_length_a 16.626
_cell_length_b 16.626
_cell_length_c 16.626
_cell_angle_alpha 90.00
_cell_angle_beta 90.00
_cell_angle_gamma 90.00
loop_
_atom_site_label
_atom_site_type_symbol
_atom_site_fract_x
_atom_site_fract_y
_atom_site_fract_z
Mg1 Mg 0.000 0.250 0.125
In1 In 0.027 0.082 0.649
As1 As 0.000 0.000 0.000
As2 As 0.000 0.250 0.375
# Fermi-level density of states: 68.02 states/eV/cell
# Total moment: 0.000 μB/f.u.
# Crystal system: cubic
# Formation energy: 0.03 eV per atom

=====

Record 2
# Ac5CdGe2 PBE-GGA relaxed
data_Ac5CdGe2
_chemical_formula_sum 'Ac10 Cd2 Ge4'
_space_group_name_H-M_alt 'I m m m'
_space_group_IT_number 71
_space_group_name_Hall '-I 2 2'
_cell_length_a 4.526
_cell_length_b 7.935
_cell_length_c 16.491
_cell_angle_alpha 90.00
_cell_angle_beta 90.00
_cell_angle_gamma 90.00
loop_
_atom_site_label
_atom_site_type_symbol
_atom_site_fract_x
_atom_site_fract_y
_atom_site_fract_z
Ac1 Ac 0.000 0.000 0.000
Ac2 Ac 0.000 0.231 0.356
Cd1 Cd 0.000 0.500 0.000
Ge1 Ge 0.000 0.000 0.195
# Fermi-level density of states: 18.47 states/eV/cell
# Total moment: 0.000 μB/f.u.
# Crystal system: orthorhombic
# Distance to the lowest polymorph of the same formula: 67 meV/atom
# Formation energy: -0.38 eV per atom

=====

Record 3
# Ge3IrCl PBE-GGA relaxed
data_Ge3IrCl
_chemical_formula_sum 'Ge3 Ir1 Cl1'
_space_group_name_H-M_alt 'P m -3 m'
_space_group_IT_number 221
_space_group_name_Hall '-P 4 2 3'
_cell_length_a 4.862
_cell_length_b 4.862
_cell_length_c 4.862
_cell_angle_alpha 90.00
_cell_angle_beta 90.00
_cell_angle_gamma 90.00
loop_
_atom_site_label
_atom_site_type_symbol
_atom_site_fract_x
_atom_site_fract_y
_atom_site_fract_z
Ge1 Ge 0.000 0.000 0.500
Ir1 Ir 0.000 0.000 0.000
Cl1 Cl 0.500 0.500 0.500
# Fermi-level density of states: 6.35 states/eV/cell
# Total moment: 0.000 μB/f.u.
# Crystal system: cubic
# Distance to the lowest polymorph of the same formula: 0 meV/atom
# Formation energy from raw total energies: 0.089 eV per atom